Below is crystalline KMnOsO6 at its relaxed geometry, with properties calculated at the PBE+U level.

Values from the calculation:
DFT total energy: -6.749 eV per atom
DOS at the Fermi energy: 3.072 states/eV per cell

abc: 5.171 8.959 5.977
angles: 90.00 90.12 90.00
Space group C2 (No. 5)
Inequivalent atoms, fractional coordinates:
K: 0.000 0.000 0.000 (multiplicity 2)
Mn: 0.000 0.333 0.500 (multiplicity 2)
Os: 0.000 0.667 0.500 (multiplicity 2)
O: 0.103 0.503 0.319 (multiplicity 4)
O: 0.194 0.800 0.319 (multiplicity 4)
O: 0.202 0.197 0.319 (multiplicity 4)